VASP calculation (SCAN) on HfFe2Cu at its PBEsol-relaxed geometry.

crystal system: cubic
DFT formation energy: 12.0 kJ/mol of atoms
density: 11.404 g/cm3

```
HfFe2Cu
1.0
5.9061 0.0000 0.0000
0.0000 5.9061 0.0000
0.0000 0.0000 5.9061
Hf Fe Cu
4 8 4
direct
0.0000 0.0000 0.0000
0.0000 0.5000 0.5000
0.5000 0.0000 0.5000
0.5000 0.5000 0.0000
0.2500 0.2500 0.2500
0.2500 0.2500 0.7500
0.2500 0.7500 0.2500
0.2500 0.7500 0.7500
0.7500 0.2500 0.2500
0.7500 0.2500 0.7500
0.7500 0.7500 0.2500
0.7500 0.7500 0.7500
0.0000 0.0000 0.5000
0.0000 0.5000 0.0000
0.5000 0.0000 0.0000
0.5000 0.5000 0.5000
```



VASP calculation (SCAN) on Be3CdW at its PBEsol-relaxed geometry.

crystal system: cubic
DFT formation energy: 157.0 kJ/mol of atoms
density: 7.515 g/cm3

```
Be3CdW
1.0
4.1493 0.0000 0.0000
0.0000 4.1493 0.0000
0.0000 0.0000 4.1493
Be Cd W
3 1 1
direct
0.0000 0.0000 0.5000
0.0000 0.5000 0.0000
0.5000 0.0000 0.0000
0.0000 0.0000 0.0000
0.5000 0.5000 0.5000
```



VASP calculation (SCAN) on MnFePS2 at its PBEsol-relaxed geometry.

crystal system: tetragonal
density: 3.994 g/cm3
E_form (uncorrected): 480 meV/atom

```
MnFePS2
1.0
4.4764 0.0000 0.0000
0.0000 4.4764 0.0000
0.0000 0.0000 4.2714
Mn Fe P S
1 1 1 2
direct
0.0000 0.0000 0.0000
0.5000 0.5000 0.5000
0.0000 0.0000 0.5000
0.0000 0.5000 0.0000
0.5000 0.0000 0.0000
```



VASP calculation (SCAN) on LiCuAg2 at its PBEsol-relaxed geometry.

crystal system: tetragonal
DFT formation energy: -4.9 kJ/mol of atoms
density: 8.296 g/cm3

```
LiCuAg2
1.0
4.0458 0.0000 0.0000
0.0000 4.0458 0.0000
0.0000 0.0000 7.0001
Li Cu Ag
2 2 4
direct
0.0000 0.0000 0.0000
0.5000 0.5000 0.5000
0.0000 0.0000 0.5000
0.5000 0.5000 0.0000
0.0000 0.5000 0.2500
0.0000 0.5000 0.7500
0.5000 0.0000 0.2500
0.5000 0.0000 0.7500
```